Li4AcIn2Au | PBE | relaxed

Output
Calculated formation energy: -0.29 eV/atom
SG: No. 166
Crystal system: trigonal

Structure (extended XYZ):
```
8
Lattice="2.330 1.346 9.468 -2.330 1.346 9.468 0.000 -2.691 9.468" Properties=species:S:1:pos:R:3 pbc="T T T"
Li 0.000 0.000 2.479
Li 0.000 0.000 10.246
Li 0.000 0.000 18.160
Li 0.000 0.000 25.926
Ac 0.000 0.000 14.203
In 0.000 0.000 7.244
In 0.000 0.000 21.161
Au 0.000 0.000 0.000
```

***

LiAcInAu3 | PBE | relaxed

Output
Calculated formation energy: -0.47 eV/atom
SG: No. 63
Crystal system: orthorhombic

Structure (extended XYZ):
```
12
Lattice="3.066 -6.286 0.000 3.066 6.286 0.000 0.000 0.000 7.253" Properties=species:S:1:pos:R:3 pbc="T T T"
Li 3.066 5.463 5.440
Li 3.066 -5.463 1.813
Ac 3.066 2.295 5.440
Ac 3.066 -2.295 1.813
In 3.066 1.639 1.813
In 3.066 -1.639 5.440
Au 3.066 4.407 1.813
Au 1.535 0.000 0.000
Au 1.535 0.000 3.627
Au 4.596 0.000 0.000
Au 4.596 0.000 3.627
Au 3.066 -4.407 5.440
```

***

AcMgIn2Au4 | PBE | relaxed

Output
Calculated formation energy: -0.55 eV/atom
SG: No. 166
Crystal system: trigonal

Structure (extended XYZ):
```
8
Lattice="2.367 1.366 9.408 -2.367 1.366 9.408 0.000 -2.733 9.408" Properties=species:S:1:pos:R:3 pbc="T T T"
Ac 0.000 0.000 0.000
Mg 0.000 0.000 14.111
In 0.000 0.000 6.809
In 0.000 0.000 21.414
Au 0.000 0.000 3.896
Au 0.000 0.000 11.185
Au 0.000 0.000 17.038
Au 0.000 0.000 24.327
```

***

Ac3MgIn2Au6 | PBE | relaxed

Output
Calculated formation energy: -0.60 eV/atom
SG: No. 164
Crystal system: trigonal

Structure (extended XYZ):
```
12
Lattice="6.454 0.000 0.000 -3.227 5.590 0.000 0.000 0.000 8.856" Properties=species:S:1:pos:R:3 pbc="T T T"
Ac 0.000 0.000 0.000
Ac 0.000 3.726 5.545
Ac 3.227 1.863 3.311
Mg 0.000 0.000 4.428
In 0.000 3.726 0.142
In 3.227 1.863 8.714
Au 0.000 2.016 2.560
Au -1.481 4.581 2.560
Au 1.746 1.008 6.296
Au 1.481 4.581 2.560
Au 4.708 1.008 6.296
Au 3.227 3.573 6.296
```

***

Ac2Mg4InAu3 | PBE | relaxed

Output
Calculated formation energy: -0.53 eV/atom
SG: No. 115
Crystal system: tetragonal

Structure (extended XYZ):
```
10
Lattice="4.619 0.000 0.000 0.000 4.619 0.000 0.000 0.000 11.781" Properties=species:S:1:pos:R:3 pbc="T T T"
Ac 0.000 2.309 2.934
Ac 2.309 0.000 8.847
Mg 0.000 0.000 5.890
Mg 0.000 2.309 10.183
Mg 2.309 0.000 1.597
Mg 2.309 2.309 5.890
In 2.309 2.309 0.000
Au 0.000 0.000 0.000
Au 0.000 2.309 7.485
Au 2.309 0.000 4.296
```

***

AcMg4In2Au | PBE | relaxed

Output
Calculated formation energy: -0.31 eV/atom
SG: No. 166
Crystal system: trigonal

Structure (extended XYZ):
```
8
Lattice="2.475 1.429 9.432 -2.475 1.429 9.432 0.000 -2.858 9.432" Properties=species:S:1:pos:R:3 pbc="T T T"
Ac 0.000 0.000 0.000
Mg 0.000 0.000 3.843
Mg 0.000 0.000 11.492
Mg 0.000 0.000 16.805
Mg 0.000 0.000 24.455
In 0.000 0.000 7.326
In 0.000 0.000 20.971
Au 0.000 0.000 14.149
```

***

Ac2MgInAu | PBE | relaxed

Output
Calculated formation energy: -0.54 eV/atom
SG: No. 11
Crystal system: monoclinic

Structure (extended XYZ):
```
10
Lattice="8.123 0.000 0.000 0.000 4.900 0.000 -2.915 0.000 7.821" Properties=species:S:1:pos:R:3 pbc="T T T"
Ac -0.289 1.225 1.579
Ac 1.064 3.675 4.733
Ac 4.144 1.225 3.088
Ac 5.497 3.675 6.241
Mg 0.029 1.225 7.400
Mg 5.179 3.675 0.421
In 2.260 3.675 1.319
In 2.948 1.225 6.502
Au -1.064 1.225 4.781
Au 6.272 3.675 3.040
```

***

Ac2MgIn4Au3 | PBE | relaxed

Output
Calculated formation energy: -0.54 eV/atom
SG: No. 115
Crystal system: tetragonal

Structure (extended XYZ):
```
10
Lattice="4.645 0.000 0.000 0.000 4.645 0.000 0.000 0.000 12.021" Properties=species:S:1:pos:R:3 pbc="T T T"
Ac 0.000 2.322 2.964
Ac 2.322 0.000 9.057
Mg 0.000 0.000 6.011
In 0.000 0.000 0.000
In 0.000 2.322 7.652
In 2.322 0.000 4.369
In 2.322 2.322 0.000
Au 0.000 2.322 10.381
Au 2.322 0.000 1.640
Au 2.322 2.322 6.011
```

***

AcMgInAu | PBE | relaxed

Output
Calculated formation energy: -0.47 eV/atom
SG: No. 216
Crystal system: cubic

Structure (extended XYZ):
```
4
Lattice="0.000 3.772 3.772 3.772 0.000 3.772 3.772 3.772 0.000" Properties=species:S:1:pos:R:3 pbc="T T T"
Ac 0.000 0.000 0.000
Mg 3.772 3.772 3.772
In 5.657 5.657 5.657
Au 1.886 1.886 1.886
```

***

AcMgInAu3 | PBE | relaxed

Output
Calculated formation energy: -0.41 eV/atom
SG: No. 63
Crystal system: orthorhombic

Structure (extended XYZ):
```
12
Lattice="3.275 -6.542 0.000 3.275 6.542 0.000 0.000 0.000 7.048" Properties=species:S:1:pos:R:3 pbc="T T T"
Ac 3.275 4.190 5.286
Ac 3.275 -4.190 1.762
Mg 3.275 0.749 5.286
Mg 3.275 -0.749 1.762
In 3.275 4.749 1.762
In 3.275 -4.749 5.286
Au 1.453 0.000 0.000
Au 1.453 0.000 3.524
Au 3.275 2.004 1.762
Au 3.275 -2.004 5.286
Au 5.098 0.000 0.000
Au 5.098 0.000 3.524
```

***

Ac2MgIn3Au4 | PBE | relaxed

Output
Calculated formation energy: -0.59 eV/atom
SG: No. 115
Crystal system: tetragonal

Structure (extended XYZ):
```
10
Lattice="4.791 0.000 0.000 0.000 4.791 0.000 0.000 0.000 11.094" Properties=species:S:1:pos:R:3 pbc="T T T"
Ac 0.000 2.396 2.636
Ac 2.396 0.000 8.458
Mg 0.000 0.000 5.547
In 0.000 2.396 9.659
In 2.396 0.000 1.434
In 2.396 2.396 5.547
Au 0.000 0.000 0.000
Au 0.000 2.396 6.964
Au 2.396 0.000 4.129
Au 2.396 2.396 0.000
```

***

NaAcInAu | PBE | relaxed

Output
Calculated formation energy: -0.40 eV/atom
SG: No. 216
Crystal system: cubic

Structure (extended XYZ):
```
4
Lattice="0.000 3.733 3.733 3.733 0.000 3.733 3.733 3.733 0.000" Properties=species:S:1:pos:R:3 pbc="T T T"
Na 0.000 0.000 0.000
Ac 1.866 1.866 1.866
In 5.599 5.599 5.599
Au 3.733 3.733 3.733
```

***

NaAcIn2Au4 | PBE | relaxed

Output
Calculated formation energy: -0.48 eV/atom
SG: No. 166
Crystal system: trigonal

Structure (extended XYZ):
```
8
Lattice="2.444 1.411 9.004 -2.444 1.411 9.004 0.000 -2.822 9.004" Properties=species:S:1:pos:R:3 pbc="T T T"
Na 0.000 0.000 0.000
Ac 0.000 0.000 13.505
In 0.000 0.000 7.097
In 0.000 0.000 19.914
Au 0.000 0.000 2.906
Au 0.000 0.000 10.089
Au 0.000 0.000 16.921
Au 0.000 0.000 24.105
```

***

Ac3Nd3In2Au | PBE | relaxed

Output
Calculated formation energy: -0.37 eV/atom
SG: No. 189
Crystal system: hexagonal

Structure (extended XYZ):
```
9
Lattice="9.326 0.000 0.000 -4.663 8.076 0.000 0.000 0.000 4.023" Properties=species:S:1:pos:R:3 pbc="T T T"
Ac -3.448 5.971 0.000
Ac 1.215 2.105 0.000
Ac 6.895 0.000 0.000
Nd -1.871 3.241 2.012
Nd 3.742 0.000 2.012
Nd 2.792 4.836 2.012
In 0.000 5.384 0.000
In 4.663 2.692 0.000
Au 0.000 0.000 2.012
```

***

Ac2InNiAu6 | PBE | relaxed

Output
Calculated formation energy: -0.46 eV/atom
SG: No. 2
Crystal system: triclinic

Structure (extended XYZ):
```
10
Lattice="5.514 0.000 0.000 2.748 6.392 0.000 2.741 0.370 6.954" Properties=species:S:1:pos:R:3 pbc="T T T"
Ac 2.750 1.677 2.066
Ac 8.254 5.085 4.888
In 0.000 0.000 0.000
Ni 5.502 3.381 3.477
Au 4.127 4.993 1.979
Au 5.497 4.024 6.205
Au 4.136 1.762 4.979
Au 6.867 5.000 1.975
Au 5.506 2.738 0.749
Au 6.877 1.769 4.975
```

***

AcInAuO | PBE | relaxed

Output
SG: No. 129
Crystal system: tetragonal
Uncorrected formation energy: -1.67 eV per atom

Structure (extended XYZ):
```
8
Lattice="4.440 0.000 0.000 0.000 4.440 0.000 0.000 0.000 9.561" Properties=species:S:1:pos:R:3 pbc="T T T"
Ac 1.110 1.110 1.179
Ac 3.330 3.330 8.381
In 1.110 3.330 4.780
In 3.330 1.110 4.780
Au 1.110 1.110 6.555
Au 3.330 3.330 3.005
O 1.110 3.330 0.000
O 3.330 1.110 0.000
```

***

AcInPAu | PBE | relaxed

Output
Calculated formation energy: -0.54 eV/atom
SG: No. 216
Crystal system: cubic

Structure (extended XYZ):
```
4
Lattice="0.000 3.704 3.704 3.704 0.000 3.704 3.704 3.704 0.000" Properties=species:S:1:pos:R:3 pbc="T T T"
Ac 0.000 0.000 0.000
In 3.704 3.704 3.704
P 5.556 5.556 5.556
Au 1.852 1.852 1.852
```

***

AcInPbAu | PBE | relaxed

Output
Calculated formation energy: -0.40 eV/atom
SG: No. 216
Crystal system: cubic

Structure (extended XYZ):
```
4
Lattice="0.000 3.859 3.859 3.859 0.000 3.859 3.859 3.859 0.000" Properties=species:S:1:pos:R:3 pbc="T T T"
Ac 0.000 0.000 0.000
In 5.788 5.788 5.788
Pb 3.859 3.859 3.859
Au 1.929 1.929 1.929
```

***

Ac2In4Pd3Au | PBE | relaxed

Output
Calculated formation energy: -0.64 eV/atom
SG: No. 115
Crystal system: tetragonal

Structure (extended XYZ):
```
10
Lattice="4.792 0.000 0.000 0.000 4.792 0.000 0.000 0.000 10.709" Properties=species:S:1:pos:R:3 pbc="T T T"
Ac 0.000 2.396 2.609
Ac 2.396 0.000 8.100
In 0.000 0.000 5.355
In 0.000 2.396 9.365
In 2.396 0.000 1.344
In 2.396 2.396 5.355
Pd 0.000 0.000 0.000
Pd 0.000 2.396 6.717
Pd 2.396 0.000 3.993
Au 2.396 2.396 0.000
```

***

Ac2In4PdAu3 | PBE | relaxed

Output
Calculated formation energy: -0.60 eV/atom
SG: No. 115
Crystal system: tetragonal

Structure (extended XYZ):
```
10
Lattice="4.747 0.000 0.000 0.000 4.747 0.000 0.000 0.000 11.246" Properties=species:S:1:pos:R:3 pbc="T T T"
Ac 0.000 2.374 2.672
Ac 2.374 0.000 8.573
In 0.000 0.000 5.623
In 0.000 2.374 9.897
In 2.374 0.000 1.349
In 2.374 2.374 5.623
Pd 2.374 2.374 0.000
Au 0.000 0.000 0.000
Au 0.000 2.374 7.187
Au 2.374 0.000 4.058
```